# 1
4
Lattice="1.358 0.784 9.225 -1.358 0.784 9.225 0.000 -1.568 9.225" Properties=species:S:1:pos:R:3 comment="LiBeW2 (PBE, relaxed)" energy_ry_per_atom=-0.5424 rho_g_cm3=10.810 spacegroup=R-3m pbc="T T T"
Li 0.000 0.000 0.000
Be 0.000 0.000 13.838
W 0.000 0.000 6.714
W 0.000 0.000 20.962

---

# 2
4
Lattice="4.474 0.000 0.000 0.000 2.187 5.593 0.000 -2.187 5.593" Properties=species:S:1:pos:R:3 comment="Ca2OsPb (PBE, relaxed)" energy_ry_per_atom=-0.3336 rho_g_cm3=7.245 spacegroup=Amm2 pbc="T T T"
Ca 0.000 0.000 0.000
Ca 2.237 0.000 3.223
Os 2.237 0.000 6.432
Pb 0.000 0.000 7.935

---

# 3
4
Lattice="1.586 0.916 9.071 -1.586 0.916 9.071 0.000 -1.832 9.071" Properties=species:S:1:pos:R:3 comment="Hf2ZrMn (PBE, relaxed)" energy_ry_per_atom=-0.6794 rho_g_cm3=10.566 spacegroup=R-3m pbc="T T T"
Hf 0.000 0.000 6.417
Hf 0.000 0.000 20.794
Zr 0.000 0.000 0.000
Mn 0.000 0.000 13.606

---

# 4
12
Lattice="-3.588 3.588 3.605 3.588 -3.588 3.605 3.588 3.588 -3.605" Properties=species:S:1:pos:R:3 comment="Zn2AgHgF8 (PBE, relaxed)" rho_g_cm3=5.288 formation_energy_uncorrected_ev_per_fu=-20.38 spacegroup=I-4m2 pbc="T T T"
Zn 0.000 0.000 0.000
Zn 0.000 3.588 1.803
Ag 0.000 0.000 3.605
Hg 3.588 0.000 1.803
F 3.588 -2.222 2.260
F 3.588 1.391 -0.453
F 1.366 0.000 1.345
F 5.811 0.000 1.345
F 1.391 3.588 0.453
F 2.197 0.000 4.058
F 3.588 2.222 2.260
F 0.000 2.197 3.152